No. 1
! InGeTe2N, optimized geometry, DFT PBE-GGA; values from VASP
&SYSTEM
  ibrav = 0, nat = 5, ntyp = 4
/
ATOMIC_SPECIES
N 14.01 N.upf
Ge 72.64 Ge.upf
Te 127.60 Te.upf
In 114.82 In.upf
ATOMIC_POSITIONS crystal
N 0.000 0.000 0.500
Ge 0.000 0.000 0.000
Te 0.000 0.500 0.000
Te 0.500 0.000 0.000
In 0.500 0.500 0.500
CELL_PARAMETERS angstrom
-1.788 1.432 -5.556
-5.605 0.807 2.012
0.708 3.338 0.633
! Theoretical density (Mg/m³): 6.0
! E_form (uncorrected) (eV/atom): 0.47
! Total DFT energy (no corrections) (eV per atom): -3.918
! Density of states at the Fermi level (states/eV per atom): 0.318

=====

No. 2
! CoSiNi, optimized geometry, DFT PBE-GGA; values from VASP
&SYSTEM
  ibrav = 0, nat = 3, ntyp = 3
/
ATOMIC_SPECIES
Si 28.09 Si.upf
Ni 58.69 Ni.upf
Co 58.93 Co.upf
ATOMIC_POSITIONS crystal
Si 0.664 0.664 0.336
Ni 0.320 0.320 0.680
Co 0.016 0.016 0.984
CELL_PARAMETERS angstrom
4.792 0.000 0.000
4.019 2.609 -0.001
0.773 0.230 2.599
! Theoretical density (Mg/m³): 7.4
! E_form (uncorrected) (eV/atom): -0.37
! Total DFT energy (no corrections) (eV per atom): -6.474
! Density of states at the Fermi level (states/eV per atom): 0.800

=====

No. 3
! BaTc2Pb, optimized geometry, DFT PBE-GGA; values from VASP
&SYSTEM
  ibrav = 0, nat = 4, ntyp = 3
/
ATOMIC_SPECIES
Pb 207.20 Pb.upf
Tc 98.00 Tc.upf
Ba 137.33 Ba.upf
ATOMIC_POSITIONS crystal
Pb 0.500 0.500 0.000
Tc 0.000 0.000 0.000
Tc 0.500 0.000 0.500
Ba 0.000 0.500 0.500
CELL_PARAMETERS angstrom
-4.293 4.052 -0.075
-1.299 -5.650 -0.113
-0.788 -0.723 2.940
! Theoretical density (Mg/m³): 10.2
! Energy relative to the elements (eV per atom): 1.160
! Total DFT energy (no corrections) (eV per atom): -5.430
! Density of states at the Fermi level (states/eV per atom): 1.339

=====

No. 4
! PmNd4Tl4, optimized geometry, DFT PBE-GGA; values from VASP
&SYSTEM
  ibrav = 0, nat = 18, ntyp = 3
/
ATOMIC_SPECIES
Tl 204.38 Tl.upf
Nd 144.24 Nd.upf
Pm 145.00 Pm.upf
ATOMIC_POSITIONS crystal
Tl 0.885 0.398 0.707
Tl 0.885 0.602 0.293
Tl 0.385 0.207 0.102
Tl 0.115 0.707 0.602
Tl 0.615 0.102 0.793
Tl 0.615 0.898 0.207
Tl 0.385 0.793 0.898
Tl 0.115 0.293 0.398
Nd 0.128 0.925 0.331
Nd 0.128 0.075 0.669
Nd 0.628 0.169 0.425
Nd 0.372 0.575 0.169
Nd 0.872 0.331 0.075
Nd 0.628 0.831 0.575
Nd 0.872 0.669 0.925
Nd 0.372 0.425 0.831
Pm 0.000 0.000 0.000
Pm 0.500 0.500 0.500
CELL_PARAMETERS angstrom
-2.892 5.246 1.949
-7.861 -2.699 -4.397
-2.827 -4.450 7.785
! Theoretical density (Mg/m³): 9.2
! Energy relative to the elements (eV per atom): -0.201
! Total DFT energy (no corrections) (eV per atom): -3.899
! Density of states at the Fermi level (states/eV per atom): 0.866

=====

No. 5
! RuI, optimized geometry, DFT PBE-GGA; values from VASP
&SYSTEM
  ibrav = 0, nat = 12, ntyp = 2
/
ATOMIC_SPECIES
Ru 101.07 Ru.upf
I 126.90 I.upf
ATOMIC_POSITIONS crystal
Ru 0.000 0.500 0.250
Ru 0.250 0.000 0.500
Ru 0.500 0.750 0.000
Ru 0.000 0.500 0.750
Ru 0.750 0.000 0.500
Ru 0.500 0.250 0.000
I 0.000 0.250 0.500
I 0.750 0.500 0.000
I 0.000 0.750 0.500
I 0.500 0.000 0.750
I 0.250 0.500 0.000
I 0.500 0.000 0.250
CELL_PARAMETERS angstrom
-7.083 -1.506 1.119
0.804 -6.385 -3.504
1.695 -3.264 6.337
! Theoretical density (Mg/m³): 5.8
! E_form (uncorrected) (eV/atom): 1.06
! Total DFT energy (no corrections) (eV per atom): -4.356
! Density of states at the Fermi level (states/eV per atom): 1.722

=====

No. 6
! SrAg5Hg7, optimized geometry, DFT PBE-GGA; values from VASP
&SYSTEM
  ibrav = 0, nat = 13, ntyp = 3
/
ATOMIC_SPECIES
Hg 200.59 Hg.upf
Ag 107.87 Ag.upf
Sr 87.62 Sr.upf
ATOMIC_POSITIONS crystal
Hg 0.998 0.655 0.348
Hg 0.998 0.348 0.655
Hg 0.507 0.190 0.796
Hg 0.507 0.796 0.190
Hg 0.275 0.225 0.225
Hg 0.640 0.360 0.360
Hg 0.337 0.663 0.663
Ag 0.004 0.994 0.498
Ag 0.504 0.994 0.498
Ag 0.725 0.775 0.775
Ag 0.504 0.498 0.994
Ag 0.004 0.498 0.994
Sr 0.996 0.004 0.004
CELL_PARAMETERS angstrom
-4.013 0.416 3.970
-0.840 -6.671 3.885
2.941 2.475 6.748
! Theoretical density (Mg/m³): 11.4
! Energy relative to the elements (eV per atom): -0.081
! Total DFT energy (no corrections) (eV per atom): -1.470
! Density of states at the Fermi level (states/eV per atom): 0.401

=====

No. 7
! AlPbS2, optimized geometry, DFT PBE-GGA; values from VASP
&SYSTEM
  ibrav = 0, nat = 16, ntyp = 3
/
ATOMIC_SPECIES
S 32.06 S.upf
Pb 207.20 Pb.upf
Al 26.98 Al.upf
ATOMIC_POSITIONS crystal
S 0.557 0.145 0.444
S 0.960 0.048 0.781
S 0.057 0.355 0.444
S 0.040 0.952 0.281
S 0.943 0.645 0.944
S 0.443 0.855 0.944
S 0.540 0.548 0.281
S 0.460 0.452 0.781
Pb 0.572 0.190 0.044
Pb 0.072 0.310 0.044
Pb 0.928 0.690 0.544
Pb 0.428 0.810 0.544
Al 0.585 0.625 0.981
Al 0.915 0.125 0.481
Al 0.085 0.875 0.981
Al 0.415 0.375 0.481
CELL_PARAMETERS angstrom
-0.319 -6.271 -0.336
7.869 -0.169 -4.313
3.432 -0.511 6.280
! Theoretical density (Mg/m³): 4.9
! E_form (uncorrected) (eV/atom): -0.67
! Total DFT energy (no corrections) (eV per atom): -4.598
! Density of states at the Fermi level (states/eV per atom): 0.000

=====

No. 8
! YBe2Br, optimized geometry, DFT PBE-GGA; values from VASP
&SYSTEM
  ibrav = 0, nat = 4, ntyp = 3
/
ATOMIC_SPECIES
Be 9.01 Be.upf
Br 79.90 Br.upf
Y 88.91 Y.upf
ATOMIC_POSITIONS crystal
Be 0.000 0.000 0.039
Be 0.000 0.000 0.461
Br 0.500 0.500 0.250
Y 0.500 0.500 0.750
CELL_PARAMETERS angstrom
3.448 -0.071 0.000
-0.427 3.422 0.000
0.000 0.000 6.260
! Theoretical density (Mg/m³): 4.2
! E_form (uncorrected) (eV/atom): 0.44
! Total DFT energy (no corrections) (eV per atom): -3.457
! Density of states at the Fermi level (states/eV per atom): 0.448

=====

No. 9
! Ho3Tm3ScTe8, optimized geometry, DFT PBE-GGA; values from VASP
&SYSTEM
  ibrav = 0, nat = 15, ntyp = 4
/
ATOMIC_SPECIES
Sc 44.96 Sc.upf
Te 127.60 Te.upf
Tm 168.93 Tm.upf
Ho 164.93 Ho.upf
ATOMIC_POSITIONS crystal
Sc 0.000 0.000 0.500
Te 0.249 0.002 0.751
Te 0.751 0.502 0.753
Te 0.751 0.501 0.249
Te 0.249 0.499 0.751
Te 0.753 0.002 0.751
Te 0.249 0.498 0.247
Te 0.247 0.998 0.249
Te 0.751 0.998 0.249
Tm 0.000 0.500 0.000
Tm 0.000 0.000 0.000
Tm 0.500 0.500 0.000
Ho 0.500 0.500 0.500
Ho 0.000 0.500 0.500
Ho 0.500 0.000 0.500
CELL_PARAMETERS angstrom
-5.989 -5.094 -3.466
7.376 -3.363 2.847
-5.792 3.005 5.592
! Theoretical density (Mg/m³): 7.7
! E_form (uncorrected) (eV/atom): -1.28
! Total DFT energy (no corrections) (eV per atom): -5.192
! Density of states at the Fermi level (states/eV per atom): 0.468

=====

No. 10
! ThSbAu4, optimized geometry, DFT PBE-GGA; values from VASP
&SYSTEM
  ibrav = 0, nat = 6, ntyp = 3
/
ATOMIC_SPECIES
Th 232.04 Th.upf
Au 196.97 Au.upf
Sb 121.76 Sb.upf
ATOMIC_POSITIONS crystal
Th 0.250 0.250 0.250
Au 0.126 0.625 0.625
Au 0.625 0.625 0.625
Au 0.625 0.126 0.625
Au 0.625 0.625 0.126
Sb 0.000 0.000 0.000
CELL_PARAMETERS angstrom
-4.892 -0.954 2.761
0.067 -1.312 5.544
-1.884 3.763 3.841
! Theoretical density (Mg/m³): 14.5
! E_form (uncorrected) (eV/atom): -0.34
! Total DFT energy (no corrections) (eV per atom): -4.454
! Density of states at the Fermi level (states/eV per atom): 0.484

=====

The highest theoretical density belongs to which entry? ThSbAu4